A plane-wave DFT calculation with PBE+U was carried out for an optimized crystal structure of CrAg3F.

Output
Total magnetic moment in μB/f.u.: 5.1
Density of states at the Fermi level in states/eV per atom: 0.38
Uncorrected energy in eV/atom: -3.4654
Relative energy among the computed polymorphs in eV per atom: 0.000

a = 4.6288 Å, b = 4.6288 Å, c = 4.6288 Å
α = 90.00°, β = 90.00°, γ = 90.00°
Closest atoms and distances in Å follow each position.
Fractional positions:
Cr 0.5000 0.5000 0.5000  12 Ag 3.27
Ag 0.0000 0.5000 0.0000  2 F 2.31
Ag 0.0000 0.0000 0.5000  2 F 2.31
Ag 0.5000 0.0000 0.0000  2 F 2.31
F 0.0000 0.0000 0.0000  6 Ag 2.31